[1]
# PBE BaTiSn2, relaxed
data_BaTiSn2
_symmetry_space_group_name_H-M 'R -3 m'
_symmetry_Int_Tables_number 166
_symmetry_space_group_name_Hall '-R 3 2"'
_cell_length_a 4.6653
_cell_length_b 4.6653
_cell_length_c 19.8789
_cell_angle_alpha 90.00
_cell_angle_beta 90.00
_cell_angle_gamma 120.00
loop_
_atom_site_label
_atom_site_type_symbol
_atom_site_fract_x
_atom_site_fract_y
_atom_site_fract_z
Ba1 Ba 0.0000 0.0000 0.0000
Ti1 Ti 0.0000 0.0000 0.5000
Sn1 Sn 0.0000 0.0000 0.2175
# E_form	-270	meV per atom
# energy	-56.7	eV/cell
# spin magnetization	0.00	Bohr magnetons per cell

[2]
# PBE ZrV2Cl8, relaxed
data_ZrV2Cl8
_symmetry_space_group_name_H-M 'C 1 2/m 1'
_symmetry_Int_Tables_number 12
_symmetry_space_group_name_Hall '-C 2y'
_cell_length_a 11.998
_cell_length_b 9.704
_cell_length_c 5.966
_cell_angle_alpha 90.00
_cell_angle_beta 90.45
_cell_angle_gamma 90.00
loop_
_atom_site_label
_atom_site_type_symbol
_atom_site_fract_x
_atom_site_fract_y
_atom_site_fract_z
Zr1 Zr 0.000 0.000 0.000
V1 V 0.181 0.000 0.344
Cl1 Cl 0.088 0.195 0.233
Cl2 Cl 0.144 0.500 0.756
Cl3 Cl 0.169 0.000 0.741
# formation energy (no corrections)	-28.71	kcal/mol of atoms
# energy	-110.5	eV/cell
# spin magnetization	8.04	Bohr magnetons per cell

[3]
# PBE CrB2Ru2, relaxed
data_CrB2Ru2
_symmetry_space_group_name_H-M 'P 4/m b m'
_symmetry_Int_Tables_number 127
_symmetry_space_group_name_Hall '-P 4 2ab'
_cell_length_a 6.073
_cell_length_b 6.073
_cell_length_c 2.769
_cell_angle_alpha 90.00
_cell_angle_beta 90.00
_cell_angle_gamma 90.00
loop_
_atom_site_label
_atom_site_type_symbol
_atom_site_fract_x
_atom_site_fract_y
_atom_site_fract_z
Cr1 Cr 0.000 0.000 0.000
B1 B 0.140 0.360 0.000
Ru1 Ru 0.157 0.657 0.500
# E_form	-122	meV per atom
# energy	-84.3	eV/cell
# spin magnetization	0.00	Bohr magnetons per cell